# 1
Entry from Alexandria via LeMat-Bulk: a relaxed structure of Dy4Y5Zr (PBE).

E_tot ... -58.106 eV per cell
ρ ... 6.3 g cm⁻³
Crystal system ... monoclinic

abc: 3.447 10.764 8.968
angles: 73.60 101.08 90.00
Fractional coordinates of all 10 atoms:
Dy (0.306, 0.080, 0.612)
Dy (0.909, 0.814, 0.818)
Dy (0.694, 0.920, 0.388)
Dy (0.091, 0.186, 0.182)
Y (0.796, 0.599, 0.591)
Y (0.897, 0.279, 0.794)
Y (0.103, 0.721, 0.206)
Y (0.500, 0.500, 0.000)
Y (0.204, 0.401, 0.409)
Zr (0.500, 0.000, 0.000)

# 2
Entry from Alexandria via LeMat-Bulk: a relaxed structure of Dy12Y3Zr (PBE).

E_tot ... -82.561 eV per cell
ρ ... 7.7 g cm⁻³
Crystal system ... tetragonal

abc: 4.989 4.989 19.872
angles: 90.00 90.00 90.00
Fractional coordinates of all 16 atoms:
Dy (0.500, 0.500, 0.000)
Dy (0.500, 0.500, 0.247)
Dy (0.500, 0.500, 0.500)
Dy (0.500, 0.500, 0.753)
Dy (0.500, 0.000, 0.117)
Dy (0.500, 0.000, 0.373)
Dy (0.500, 0.000, 0.627)
Dy (0.500, 0.000, 0.883)
Dy (0.000, 0.500, 0.117)
Dy (0.000, 0.500, 0.373)
Dy (0.000, 0.500, 0.627)
Dy (0.000, 0.500, 0.883)
Y (0.000, 0.000, 0.247)
Y (0.000, 0.000, 0.500)
Y (0.000, 0.000, 0.753)
Zr (0.000, 0.000, 0.000)

# 3
Entry from Alexandria via LeMat-Bulk: a relaxed structure of Dy12Y7Zr (PBE).

E_tot ... -103.640 eV per cell
ρ ... 6.8 g cm⁻³
Crystal system ... trigonal
Relative energy among the computed polymorphs ... 0 meV per atom

abc: 8.675 8.675 8.675
angles: 90.87 90.87 90.87
Site moments in Bohr magnetons follow the coordinates.
Fractional coordinates of all 20 atoms:
Dy (0.776, 0.237, 0.633)  -0.02
Dy (0.763, 0.367, 0.224)  -0.02
Dy (0.448, 0.123, 0.361)  -0.02
Dy (0.877, 0.639, 0.552)  -0.02
Dy (0.367, 0.224, 0.763)  -0.02
Dy (0.639, 0.552, 0.877)  -0.02
Dy (0.361, 0.448, 0.123)  -0.02
Dy (0.633, 0.776, 0.237)  -0.02
Dy (0.123, 0.361, 0.448)  -0.02
Dy (0.552, 0.877, 0.639)  -0.02
Dy (0.237, 0.633, 0.776)  -0.02
Dy (0.224, 0.763, 0.367)  -0.02
Y (0.971, 0.669, 0.066)  0.07
Y (0.331, 0.934, 0.029)  0.07
Y (0.934, 0.029, 0.331)  0.07
Y (0.500, 0.500, 0.500)  0.02
Y (0.066, 0.971, 0.669)  0.07
Y (0.669, 0.066, 0.971)  0.07
Y (0.029, 0.331, 0.934)  0.07
Zr (0.000, 0.000, 0.000)  0.69

# 4
Entry from Alexandria via LeMat-Bulk: a relaxed structure of DyYZr (PBE).

E_tot ... -19.368 eV per cell
ρ ... 6.6 g cm⁻³
Crystal system ... tetragonal
Relative energy among the computed polymorphs ... 6 meV per atom

abc: 3.411 3.411 7.740
angles: 102.73 102.73 90.00
Fractional coordinates of all 3 atoms:
Y (0.989, 0.989, 0.979)
Zr (0.332, 0.332, 0.665)
Dy (0.678, 0.678, 0.356)

no.,formation enthalpy at 0 K (eV per atom)
1,0.117
2,0.038
3,0.269
4,0.082